Record 1
KIn4Hg12 after structural relaxation. Source: the Alexandria database, functional PBE-GGA.

It has space group Im-3 (No. 204), with a = 10.2511 Å, b = 10.2511 Å, c = 10.2511 Å, α = 90.00°, β = 90.00° and γ = 90.00°. The inequivalent atoms are K at (0.0000, 0.0000, 0.0000), In at (0.2500, 0.2500, 0.2500) and Hg at (0.0000, 0.3529, 0.1485).

For the formation energy, the calculation gives -0.002 eV/atom. Its calculated total energy is -31.4 eV per cell.


Record 2
K2InHg2 after structural relaxation. Source: the Alexandria database, functional PBE-GGA.

It has space group Immm (No. 71), with a = 4.8541 Å, b = 6.8773 Å, c = 10.6808 Å, α = 90.00°, β = 90.00° and γ = 90.00°. The inequivalent atoms are K at (0.0000, 0.0000, 0.2004), In at (0.0000, 0.5000, 0.0000) and Hg at (0.0000, 0.2672, 0.5000).

For the formation energy, the calculation gives -0.216 eV/atom. Its calculated total energy is -13.2 eV per cell.


Record 3
KInHg14 after structural relaxation. Source: the Alexandria database, functional PBE-GGA.

It has space group Imma (No. 74), with a = 11.3903 Å, b = 11.9600 Å, c = 14.2710 Å, α = 90.00°, β = 90.00° and γ = 90.00°. The inequivalent atoms are K at (0.0000, 0.2500, 0.1003), In at (0.0000, 0.0000, 0.5000), Hg at (0.1239, 0.2500, 0.7466), Hg at (0.1343, 0.0012, 0.3069), Hg at (0.1420, 0.0832, 0.9184), Hg at (0.1428, 0.2500, 0.5295) and Hg at (0.1466, 0.2500, 0.3205).

For the formation energy, the calculation gives -0.033 eV/atom. Its calculated total energy is -34.3 eV per cell.


Record 4
K2InHg6 after structural relaxation. Source: the Alexandria database, functional PBE-GGA.

It has space group C2/m (No. 12), with a = 12.3714 Å, b = 7.1602 Å, c = 6.2544 Å, α = 90.00°, β = 90.16° and γ = 90.00°. The inequivalent atoms are K at (0.1672, 0.0000, 0.3348), In at (0.0000, 0.5000, 0.5000), Hg at (0.0918, 0.2235, 0.8306) and Hg at (0.1834, 0.5000, 0.1689).

For the formation energy, the calculation gives -0.212 eV/atom. Its calculated total energy is -17.3 eV per cell.


Record 5
KInHg17 after structural relaxation. Source: the Alexandria database, functional PBE-GGA.

It has space group R3m (No. 160, hexagonal axes), with a = 10.1147 Å, b = 10.1147 Å, c = 18.3911 Å, α = 90.00°, β = 90.00° and γ = 120.00°. The inequivalent atoms are K at (0.0000, 0.0000, 0.0000), In at (0.0000, 0.0000, 0.3089), Hg at (0.0000, 0.0000, 0.5338), Hg at (0.0000, 0.0000, 0.7006), Hg at (0.0248, 0.3552, 0.3040), Hg at (0.1933, 0.3866, 0.1035), Hg at (0.2122, 0.4244, 0.4909) and Hg at (0.2148, 0.4296, 0.8328).

For the formation energy, the calculation gives -0.048 eV/atom. Its calculated total energy is -29.6 eV per cell.


Record 6
KInHg after structural relaxation. Source: the Alexandria database, functional PBE-GGA.

It has space group F-43m (No. 216), with a = 7.5968 Å, b = 7.5968 Å, c = 7.5968 Å, α = 90.00°, β = 90.00° and γ = 90.00°. The inequivalent atoms are K at (0.0000, 0.0000, 0.0000), In at (0.0000, 0.0000, 0.5000) and Hg at (0.2500, 0.2500, 0.2500).

For the formation energy, the calculation gives -0.031 eV/atom. Its calculated total energy is -16.9 eV per cell.


- Which formula does entry 3 have?
  KInHg14


- The lowest formation energy belongs to which entry?
  K2InHg2


- Among the records above, which one has the lowest formation energy?
  K2InHg2